# Y3Ag2Hg7 (PBE, relaxed)
data_Y3Ag2Hg7
_cell_length_a 4.866
_cell_length_b 3.746
_cell_length_c 16.267
_cell_angle_alpha 90.00
_cell_angle_beta 97.57
_cell_angle_gamma 90.00
_symmetry_space_group_name_H-M 'P 1 2/m 1'
_symmetry_Int_Tables_number 10
loop_
_symmetry_equiv_pos_as_xyz
'x,y,z'
'-x,-y,-z'
'-x,y,-z'
'x,-y,z'
loop_
_atom_site_label
_atom_site_fract_x
_atom_site_fract_y
_atom_site_fract_z
Y1 0.000 0.000 0.000
Y2 0.309 0.500 0.629
Ag1 0.151 0.000 0.287
Hg1 0.085 0.500 0.150
Hg2 0.230 0.000 0.455
Hg3 0.393 0.000 0.807
Hg4 0.500 0.500 0.000
# Raw total energy, eV per atom: -2.49
# E_form, eV per atom: -0.2270